Computed, not measured: Ac6InGe2I3 after structural relaxation at the PBE level of DFT.

As for the density of states at the Fermi level: 6.5 states/eV/f.u.

The structure belongs to space group C2/m (No. 12); the cell edges are 21.0380, 4.6698 and 9.7640 Å and the angles 90.00°, 104.69° and 90.00°. The inequivalent atoms are Ac at (0.0133, 0.0000, 0.2427), Ac at (0.1621, 0.5000, 0.1189), Ac at (0.1778, 0.5000, 0.5603), In at (0.0000, 0.5000, 0.0000), Ge at (0.1681, 0.0000, 0.3381), I at (0.0000, 0.5000, 0.5000) and I at (0.1653, 0.0000, 0.8336).

=====

Computed, not measured: Ac6Ge2IrI3 after structural relaxation at the PBE level of DFT.

As for the density of states at the Fermi level: 12.1 states/eV/f.u.

The structure belongs to space group C2/m (No. 12); the cell edges are 8.0526, 13.7911 and 8.5495 Å and the angles 90.00°, 108.23° and 90.00°. The inequivalent atoms are Ac at (0.2215, 0.1572, 0.1929), Ac at (0.2479, 0.5000, 0.2016), Ge at (0.0000, 0.3345, 0.0000), Ir at (0.0000, 0.0000, 0.0000), I at (0.0000, 0.1772, 0.5000) and I at (0.0000, 0.5000, 0.5000).

=====

Computed, not measured: Ac8GeIr3I3 after structural relaxation at the PBE level of DFT.

As for the density of states at the Fermi level: 11.3 states/eV/f.u.

The structure belongs to space group C2/m (No. 12); the cell edges are 15.5565, 8.9754 and 9.8051 Å and the angles 90.00°, 121.96° and 90.00°. The inequivalent atoms are Ac at (0.0241, 0.2369, 0.3093), Ac at (0.2304, 0.0000, 0.6904), Ac at (0.2391, 0.5000, 0.6911), Ge at (0.0000, 0.5000, 0.5000), Ir at (0.0000, 0.0000, 0.5000), Ir at (0.2500, 0.2500, 0.5000), I at (0.0000, 0.5000, 0.0000) and I at (0.2500, 0.2500, 0.0000).

=====

Computed, not measured: Ac4GeIrI2 after structural relaxation at the PBE level of DFT.

As for the density of states at the Fermi level: 5.3 states/eV/f.u.

The structure belongs to space group P2/m (No. 10); the cell edges are 8.0932, 4.4455 and 8.7519 Å and the angles 90.00°, 106.01° and 90.00°. The inequivalent atoms are Ac at (0.2133, 0.0000, 0.1857), Ac at (0.2512, 0.5000, 0.8091), Ge at (0.5000, 0.0000, 0.0000), Ir at (0.0000, 0.5000, 0.0000), I at (0.0000, 0.0000, 0.5000) and I at (0.5000, 0.5000, 0.5000).

=====

Computed, not measured: AcMgGeI after structural relaxation at the PBE level of DFT.

The structure belongs to space group R-3m (No. 166, hexagonal axes); the cell edges are 4.6168, 4.6168 and 46.3672 Å and the angles 90.00°, 90.00° and 120.00°. The inequivalent atoms are Ac at (0.0000, 0.0000, 0.0763), Mg at (0.0000, 0.0000, 0.3131), Ge at (0.0000, 0.0000, 0.3734) and I at (0.0000, 0.0000, 0.2102).

=====

Computed, not measured: Ac8Ge3I4N after structural relaxation at the PBE level of DFT.

As for the density of states at the Fermi level: 7.5 states/eV/f.u.

The structure belongs to space group R-3m (No. 166, hexagonal axes); the cell edges are 8.8846, 8.8846 and 24.9328 Å and the angles 90.00°, 90.00° and 120.00°. The inequivalent atoms are Ac at (0.0000, 0.0000, 0.2343), Ac at (0.0308, 0.5154, 0.2294), Ge at (0.0000, 0.5000, 0.5000), I at (0.0000, 0.0000, 0.0000), I at (0.0000, 0.5000, 0.0000) and N at (0.0000, 0.0000, 0.5000).

=====

Energy relative to the elements, uncorrected for the records above, in order: -0.8874 -0.9756 -0.8849 -0.9910 -0.9267 -0.9947 eV/atom